No. 1
Material: TlSiAgO3
Method: DFT, PBE
State: optimized geometry

Geometry as extended XYZ:
```
24
Lattice="-0.193 2.440 -1.507 -7.283 3.334 6.330 7.563 4.506 6.328" Properties=species:S:1:pos:R:3 pbc="T T T"
Ag -2.358 6.148 8.887
O 0.978 7.447 10.563
O 4.932 5.387 6.721
Tl 4.447 4.219 4.892
O 0.523 5.006 6.669
Tl -4.360 6.061 6.260
O 6.570 6.050 4.844
Tl -1.209 2.824 3.357
Ag 4.025 7.392 7.343
O -4.845 4.893 4.431
Tl 1.296 7.456 7.795
O -6.483 4.229 6.307
Si -0.914 6.140 5.948
O -1.909 4.785 6.622
Si 0.996 9.250 10.739
Si -0.909 1.029 0.412
O 1.996 5.494 4.530
O 0.945 3.228 3.735
Ag 2.445 4.131 2.265
Si 1.001 4.139 5.204
Ag -3.938 2.887 3.809
O -0.858 7.052 7.416
O -0.891 2.832 0.589
O -0.436 5.273 4.483
```

Space group ... Pnma

=====

No. 2
Material: LiCoGeW
Method: DFT, PBE
State: optimized geometry

Geometry as extended XYZ:
```
4
Lattice="0.000 2.968 2.968 2.968 0.000 2.968 2.968 2.968 0.000" Properties=species:S:1:pos:R:3 pbc="T T T"
Co 4.453 4.453 4.453
Ge 0.000 0.000 0.000
Li 2.968 2.968 2.968
W 1.484 1.484 1.484
```

Size of the total moment ... 0.56 μB/atom
Polymorph energy (0 for the lowest one) ... 0.133 eV per atom
Space group ... F-43m

=====

No. 3
Material: ScUCd
Method: DFT, PBE
State: optimized geometry

Geometry as extended XYZ:
```
3
Lattice="0.000 3.494 3.494 3.494 0.000 3.494 3.494 3.494 0.000" Properties=species:S:1:pos:R:3 pbc="T T T"
Sc 5.241 5.241 5.241
Cd 1.747 1.747 1.747
U 0.000 0.000 0.000
```

Size of the total moment ... 1.12 μB/atom
Polymorph energy (0 for the lowest one) ... 0.197 eV per atom
ΔH_f (0 K) ... 3.43 eV per formula unit
Space group ... F-43m

=====

No. 4
Material: AlReO4
Method: DFT, PBE
State: optimized geometry

Geometry as extended XYZ:
```
12
Lattice="4.026 -1.597 3.215 -1.340 5.175 0.722 -4.328 -3.000 1.168" Properties=species:S:1:pos:R:3 pbc="T T T"
O -4.524 1.767 1.542
O -1.107 0.456 0.402
Al 1.175 -0.532 4.135
O 0.599 -0.467 2.332
O -2.122 2.848 1.053
Re 2.031 2.705 2.977
O 0.479 -2.293 4.073
Al 0.655 0.872 0.960
O -2.239 1.067 2.752
Re -0.134 -2.276 2.216
O 0.226 2.186 2.308
O -1.905 -1.657 2.744
```

Size of the total moment ... 0.31 μB/atom
Space group ... I4_1md

=====

no.,density (g cm⁻³),E (eV per atom)
1,8.1,-5.584
2,10.2,-6.303
3,7.7,-5.031
4,7.6,-8.023